# 1
The following is a PBE calculation of a relaxed Sc2AuBr crystal, from Alexandria via LeMat-Bulk.

a b c (Å): 6.7031 7.6256 3.2406
angles (deg): 90.00 90.00 90.00
Space group Cmmm (No. 65)
Asymmetric unit:
Sc1 0.2500 0.2500 0.0000 [4 per cell]
Au1 0.0000 0.0000 0.5000 [2 per cell]
Br1 0.0000 0.5000 0.5000 [2 per cell]

ΔE to the lowest computed polymorph = 0.203 eV/atom
M_tot = 0.26 μB per atom
calculated total energy = -4.99 eV per atom
density of states at the Fermi level = 0.916 states/eV/atom
ΔE_f (raw) = -0.590 eV/atom

---

# 2
The following is a PBE calculation of a relaxed TcCI2 crystal, from Alexandria via LeMat-Bulk.

a b c (Å): 6.6907 6.6907 6.6907
angles (deg): 90.00 90.00 90.00
Space group Fm-3m (No. 225)
Asymmetric unit:
Tc1 0.0000 0.0000 0.0000 [4 per cell]
C1 0.0000 0.0000 0.5000 [4 per cell]
I1 0.2500 0.2500 0.2500 [8 per cell]

ΔE to the lowest computed polymorph = 0.156 eV/atom
M_tot = 0.00 μB per atom
calculated total energy = -3.63 eV per atom
density of states at the Fermi level = 0.513 states/eV/atom
ΔE_f (raw) = 2.040 eV/atom